Entry 1:
The following is a GGA-PBEsol calculation of BaSi12Pt5 after structural relaxation, from Alexandria.

Unit cell a=16.4739 b=16.4739 c=6.1016 alpha=90.02 beta=90.02 gamma=158.58
With the nearest neighbours (Å) after each atom.
Fractional positions:
Ba 0.1250 0.8750 0.0000  14 Si 3.31-3.51, 4 Pt 3.44-3.45
Ba 0.8750 0.1250 0.0000  14 Si 3.31-3.51, 4 Pt 3.44-3.45
Si 0.0808 0.3573 0.5009  3 Si 2.41-2.68, 2 Pt 2.43-2.48
Si 0.0833 0.6420 0.1349  2 Si 2.36-2.48, 2 Pt 2.43-2.45
Si 0.1447 0.5783 0.3691  2 Si 2.33-2.48, 2 Pt 2.40-2.44
Si 0.2119 0.2924 0.2514  4 Pt 2.45-2.53, 1 Si 2.61
Si 0.2123 0.2929 0.7481  4 Pt 2.45-2.54, 1 Si 2.61
Si 0.2924 0.2119 0.2514  4 Pt 2.45-2.53, 1 Si 2.61
Si 0.2929 0.2123 0.7481  4 Pt 2.45-2.54, 1 Si 2.61
Si 0.3573 0.0808 0.5009  3 Si 2.41-2.68, 2 Pt 2.43-2.48
Si 0.3580 0.9167 0.8651  2 Si 2.36-2.48, 2 Pt 2.43-2.45
Si 0.3594 0.6371 0.7811  3 Si 2.41-2.67, 2 Pt 2.43-2.50
Si 0.3629 0.6406 0.2189  3 Si 2.41-2.67, 2 Pt 2.43-2.50
Si 0.4217 0.8553 0.6309  2 Si 2.33-2.48, 2 Pt 2.40-2.44
Si 0.5783 0.1447 0.3691  2 Si 2.33-2.48, 2 Pt 2.40-2.44
Si 0.6371 0.3594 0.7811  3 Si 2.41-2.67, 2 Pt 2.43-2.50
Si 0.6406 0.3629 0.2189  3 Si 2.41-2.67, 2 Pt 2.43-2.50
Si 0.6420 0.0833 0.1349  2 Si 2.36-2.48, 2 Pt 2.43-2.45
Si 0.6427 0.9192 0.4991  3 Si 2.41-2.68, 2 Pt 2.43-2.48
Si 0.7071 0.7877 0.2519  4 Pt 2.45-2.54, 1 Si 2.61
Si 0.7076 0.7881 0.7486  4 Pt 2.45-2.53, 1 Si 2.61
Si 0.7877 0.7071 0.2519  4 Pt 2.45-2.54, 1 Si 2.61
Si 0.7881 0.7076 0.7486  4 Pt 2.45-2.53, 1 Si 2.61
Si 0.8553 0.4217 0.6309  2 Si 2.33-2.48, 2 Pt 2.40-2.44
Si 0.9167 0.3580 0.8651  2 Si 2.36-2.48, 2 Pt 2.43-2.45
Si 0.9192 0.6427 0.4991  3 Si 2.41-2.68, 2 Pt 2.43-2.48
Pt 0.0000 0.0000 0.0000  8 Si 2.53-2.54
Pt 0.0756 0.9244 0.5000  6 Si 2.43-2.45
Pt 0.2026 0.7974 0.5000  6 Si 2.40-2.48
Pt 0.2960 0.7040 0.0000  8 Si 2.43-2.71
Pt 0.4240 0.5760 0.0000  6 Si 2.43-2.45
Pt 0.5000 0.5000 0.5000  8 Si 2.51
Pt 0.5760 0.4240 0.0000  6 Si 2.43-2.45
Pt 0.7040 0.2960 0.0000  8 Si 2.43-2.71
Pt 0.7974 0.2026 0.5000  6 Si 2.40-2.48
Pt 0.9244 0.0756 0.5000  6 Si 2.43-2.45

Mass density, g/cm3: 7.96
Crystal system: monoclinic
SG: C2/m (12)
Energy relative to the elements, uncorrected, eV per atom: -0.568

=====

Entry 2:
The following is a GGA-PBEsol calculation of Ba2SiPt after structural relaxation, from Alexandria.

Unit cell a=4.4479 b=5.0584 c=10.8036 alpha=90.00 beta=90.00 gamma=90.00
With the nearest neighbours (Å) after each atom.
Fractional positions:
Ba 0.0000 0.0000 0.0000  3 Pt 3.28-3.32, 4 Si 3.59
Ba 0.0000 0.5000 0.5000  3 Pt 3.28-3.32, 4 Si 3.59
Ba 0.5000 0.0000 0.3011  3 Si 3.23-3.39, 4 Pt 3.57
Ba 0.5000 0.5000 0.8011  3 Si 3.23-3.39, 4 Pt 3.57
Si 0.5000 0.0000 0.6146  2 Pt 2.38
Si 0.5000 0.5000 0.1146  2 Pt 2.38
Pt 0.0000 0.0000 0.6929  2 Si 2.38
Pt 0.0000 0.5000 0.1929  2 Si 2.38

Mass density, g/cm3: 6.80
Crystal system: orthorhombic
SG: Amm2 (38)
Energy relative to the elements, uncorrected, eV per atom: -0.634

=====

Entry 3:
The following is a GGA-PBEsol calculation of BaSi2Pt after structural relaxation, from Alexandria.

Unit cell a=7.1303 b=4.1322 c=6.3908 alpha=90.00 beta=111.95 gamma=90.00
With the nearest neighbours (Å) after each atom.
Fractional positions:
Ba 0.0000 0.0000 0.0000  8 Si 3.28-3.67
Ba 0.5000 0.5000 0.0000  8 Si 3.28-3.67
Si 0.2059 0.0000 0.6192  3 Pt 2.48, 3 Si 2.76-2.78
Si 0.2941 0.5000 0.3808  3 Pt 2.48, 3 Si 2.76-2.78
Si 0.7059 0.5000 0.6192  3 Pt 2.48, 3 Si 2.76-2.78
Si 0.7941 0.0000 0.3808  3 Pt 2.48, 3 Si 2.76-2.78
Pt 0.0000 0.5000 0.5000  6 Si 2.48
Pt 0.5000 0.0000 0.5000  6 Si 2.48

Mass density, g/cm3: 7.39
Crystal system: monoclinic
SG: C2/m (12)
Energy relative to the elements, uncorrected, eV per atom: -0.755

=====

Entry 4:
The following is a GGA-PBEsol calculation of BaSi2Pt after structural relaxation, from Alexandria.

Unit cell a=3.3534 b=3.3534 c=7.1946 alpha=90.00 beta=90.00 gamma=90.00
With the nearest neighbours (Å) after each atom.
Fractional positions:
Ba 0.0000 0.0000 0.0000  4 Ba 3.35, 8 Si 3.36, 2 Pt 3.60
Si 0.5000 0.5000 0.3314  1 Si 2.43, 4 Pt 2.66
Si 0.5000 0.5000 0.6686  1 Si 2.43, 4 Pt 2.66
Pt 0.0000 0.0000 0.5000  8 Si 2.66

Mass density, g/cm3: 7.98
Crystal system: tetragonal
SG: P4/mmm (123)
Energy relative to the elements, uncorrected, eV per atom: -0.268